1.
A plane-wave DFT calculation with PBE was carried out for a geometry-optimized MnHgB2Pt structure.

```
MnHgB2Pt
1.0
4.1357 0.0000 0.0000
0.0000 4.1357 0.0000
0.0000 0.0000 5.3687
Mn Hg B Pt
1 1 2 1
direct
0.0000 0.0000 0.0000
0.5000 0.5000 0.5000
0.0000 0.5000 0.5000
0.5000 0.0000 0.5000
0.5000 0.5000 0.0000
```

Symmetry: P4/mmm, No. 123
Theoretical density: 8.5 g/cm³
DOS at the Fermi energy: 2.9 states/eV/cell
Energy of formation: 1.77 eV per atom
Energy: -20.01 eV/cell

2.
A plane-wave DFT calculation with PBE was carried out for a geometry-optimized MnHg2BRu structure.

```
MnHg2BRu
1.0
5.0962 0.0000 0.0000
0.0000 5.0962 0.0000
0.0000 0.0000 4.2635
Mn Hg B Ru
1 2 1 1
direct
0.0000 0.0000 0.0000
0.0000 0.5000 0.0000
0.5000 0.0000 0.0000
0.5000 0.5000 0.5000
0.0000 0.0000 0.5000
```

Symmetry: P4/mmm, No. 123
Theoretical density: 8.5 g/cm³
DOS at the Fermi energy: 3.9 states/eV/cell
Energy of formation: 1.74 eV per atom
Energy: -17.05 eV/cell

3.
A plane-wave DFT calculation with PBE was carried out for a geometry-optimized MnHg2BS structure.

```
MnHg2BS
1.0
5.2246 0.0000 0.0000
0.0000 5.2246 0.0000
0.0000 0.0000 4.0960
Mn Hg B S
1 2 1 1
direct
0.0000 0.0000 0.0000
0.0000 0.5000 0.0000
0.5000 0.0000 0.0000
0.5000 0.5000 0.5000
0.0000 0.0000 0.5000
```

Symmetry: P4/mmm, No. 123
Theoretical density: 7.4 g/cm³
DOS at the Fermi energy: 3.9 states/eV/cell
Formation energy without anion corrections: 1.0816 eV/atom
Energy: -15.17 eV/cell

4.
A plane-wave DFT calculation with PBE was carried out for a geometry-optimized MnZn2HgB structure.

```
MnZn2HgB
1.0
5.1131 0.0000 0.0000
0.0000 5.1131 0.0000
0.0000 0.0000 4.1220
Mn Zn Hg B
1 2 1 1
direct
0.0000 0.0000 0.0000
0.0000 0.5000 0.5000
0.5000 0.0000 0.5000
0.5000 0.5000 0.5000
0.5000 0.5000 0.0000
```

Symmetry: P4/mmm, No. 123
Theoretical density: 6.1 g/cm³
DOS at the Fermi energy: 2.4 states/eV/cell
Energy of formation: 1.26 eV per atom
Energy: -12.40 eV/cell